VASP calculation (PBE-GGA) on an optimized crystal structure of HgIrSeO.

The structure in POSCAR format:
```
HgIrSeO
1.0
4.2042 0.0000 0.0000
0.0000 4.2042 0.0000
0.0000 0.0000 8.4443
Hg Ir O Se
2 2 2 2
direct
0.7500 0.2500 0.5000 Hg
0.2500 0.7500 0.5000 Hg
0.2500 0.2500 0.0406 Ir
0.7500 0.7500 0.9594 Ir
0.7500 0.2500 0.0000 O
0.2500 0.7500 0.0000 O
0.7500 0.7500 0.2554 Se
0.2500 0.2500 0.7446 Se
```

Properties
The crystal system is tetragonal. For the polymorph energy (0 for the lowest one), the calculation gives 0.6328 eV per atom. The mass density comes out at 10853 kg/m³.